This record from Alexandria describes an optimized crystal structure of HoScRh4. The functional is PBE-GGA.

abc: 3.013 4.503 8.039
angles: 90.00 90.00 90.00
Sites, in units of the cell vectors:
Ho 0.000 0.000 0.000
Sc 0.500 0.500 0.500
Rh 0.000 0.500 0.229
Rh 0.000 0.500 0.771
Rh 0.500 0.000 0.294
Rh 0.500 0.000 0.706

Summary:
ΔE_f = -0.35 eV/atom
Relative energy among the computed polymorphs = 0.369 eV per atom
M_tot = 0.0 μB per formula unit